A.
An optimized crystal structure of Er2Ag2Pd3, computed with PBE.

## Properties
Magnetization, μB per atom: 0.000
SG: No. 12

The structure in CIF format:
```
data_Er2Ag2Pd3
_cell_length_a 5.177
_cell_length_b 5.177
_cell_length_c 6.777
_cell_angle_alpha 96.41
_cell_angle_beta 96.41
_cell_angle_gamma 47.54
_symmetry_space_group_name_H-M 'P 1'
_symmetry_Int_Tables_number 1
loop_
_symmetry_equiv_pos_as_xyz
'x,y,z'
loop_
_atom_site_label
_atom_site_fract_x
_atom_site_fract_y
_atom_site_fract_z
Er1 0.080 0.080 0.253
Er2 0.920 0.920 0.747
Ag1 0.358 0.358 0.075
Ag2 0.642 0.642 0.925
Pd1 0.214 0.214 0.647
Pd2 0.500 0.500 0.500
Pd3 0.786 0.786 0.353
```

***

B.
An optimized crystal structure of Er2Ag2Pd3, computed with PBE.

## Properties
Magnetization, μB per atom: 0.000
SG: No. 2

The structure in CIF format:
```
data_Er2Ag2Pd3
_cell_length_a 4.285
_cell_length_b 5.209
_cell_length_c 7.084
_cell_angle_alpha 75.01
_cell_angle_beta 89.88
_cell_angle_gamma 65.75
_symmetry_space_group_name_H-M 'P 1'
_symmetry_Int_Tables_number 1
loop_
_symmetry_equiv_pos_as_xyz
'x,y,z'
loop_
_atom_site_label
_atom_site_fract_x
_atom_site_fract_y
_atom_site_fract_z
Er1 0.123 0.255 0.286
Er2 0.877 0.745 0.714
Ag1 0.376 0.751 0.069
Ag2 0.624 0.249 0.931
Pd1 0.172 0.154 0.697
Pd2 0.500 0.500 0.500
Pd3 0.828 0.846 0.303
```

***

Which is most stable? The ranking, best first, is A, B.